[1]
Below is an optimized crystal structure of K2TaAgS4, with properties calculated at the PBE level.

Results
Calculated density = 3.54 g cm⁻³
Relative energy among the computed polymorphs = 0.0 meV per atom
E_form (uncorrected) = -1.0382 eV per atom

Geometry as CIF:
```
data_K2TaAgS4
_chemical_formula_sum 'K16 Ta8 Ag8 S32'
_symmetry_space_group_name_H-M 'F d d d'
_symmetry_Int_Tables_number 70
_cell_length_a 5.982
_cell_length_b 13.485
_cell_length_c 23.041
_cell_angle_alpha 90.00
_cell_angle_beta 90.00
_cell_angle_gamma 90.00
loop_
_symmetry_equiv_pos_as_xyz
'x,y,z'
'-x,-y,-z'
'-x+1/4,-y+1/4,z'
'x+1/4,y+1/4,-z'
'x,-y+1/4,-z+1/4'
'-x,y+1/4,z+1/4'
'-x+1/4,y,-z+1/4'
'x+1/4,-y,z+1/4'
'x,y+1/2,z+1/2'
'-x,-y+1/2,-z+1/2'
'-x+1/4,-y+3/4,z+1/2'
'x+1/4,y+3/4,-z+1/2'
'x,-y+3/4,-z+3/4'
'-x,y+3/4,z+3/4'
'-x+1/4,y+1/2,-z+3/4'
'x+1/4,-y+1/2,z+3/4'
'x+1/2,y,z+1/2'
'-x+1/2,-y,-z+1/2'
'-x+3/4,-y+1/4,z+1/2'
'x+3/4,y+1/4,-z+1/2'
'x+1/2,-y+1/4,-z+3/4'
'-x+1/2,y+1/4,z+3/4'
'-x+3/4,y,-z+3/4'
'x+3/4,-y,z+3/4'
'x+1/2,y+1/2,z'
'-x+1/2,-y+1/2,-z'
'-x+3/4,-y+3/4,z'
'x+3/4,y+3/4,-z'
'x+1/2,-y+3/4,-z+1/4'
'-x+1/2,y+3/4,z+1/4'
'-x+3/4,y+1/2,-z+1/4'
'x+3/4,-y+1/2,z+1/4'
loop_
_atom_site_label
_atom_site_fract_x
_atom_site_fract_y
_atom_site_fract_z
K1 0.125 0.125 0.305
Ta1 0.125 0.125 0.125
Ag1 0.125 0.125 0.625
S1 0.088 0.273 0.433
```

[2]
Below is an optimized crystal structure of La2CeIr9, with properties calculated at the PBE level.

Results
Calculated density = 15.96 g cm⁻³
Total energy = -8.510 eV/atom

Geometry as CIF:
```
data_La2CeIr9
_chemical_formula_sum 'La6 Ce3 Ir27'
_symmetry_space_group_name_H-M 'R -3 m'
_symmetry_Int_Tables_number 166
_symmetry_space_group_name_Hall '-R 3 2"'
_cell_length_a 5.3727
_cell_length_b 5.3727
_cell_length_c 26.8252
_cell_angle_alpha 90.00
_cell_angle_beta 90.00
_cell_angle_gamma 120.00
loop_
_atom_site_label
_atom_site_fract_x
_atom_site_fract_y
_atom_site_fract_z
La1 0.0000 0.0000 0.1397
Ce1 0.0000 0.0000 0.0000
Ir1 0.0000 0.0000 0.3323
Ir2 0.0000 0.0000 0.5000
Ir3 0.0030 0.5015 0.0801
```

[3]
Below is an optimized crystal structure of La7Cu, with properties calculated at the PBE level.

Results
Calculated density = 6.54 g cm⁻³
Total energy = -4.737 eV/atom

Geometry as CIF:
```
data_La7Cu
_chemical_formula_sum 'La28 Cu4'
_symmetry_space_group_name_H-M 'F m -3 m'
_symmetry_Int_Tables_number 225
_symmetry_space_group_name_Hall '-F 4 2 3'
_cell_length_a 10.173
_cell_length_b 10.173
_cell_length_c 10.173
_cell_angle_alpha 90.00
_cell_angle_beta 90.00
_cell_angle_gamma 90.00
loop_
_atom_site_label
_atom_site_fract_x
_atom_site_fract_y
_atom_site_fract_z
La1 0.000 0.000 0.000
La2 0.000 0.250 0.250
Cu1 0.000 0.000 0.500
```

[4]
Below is an optimized crystal structure of NaCr3I, with properties calculated at the PBE level.

Results
Calculated density = 3.41 g cm⁻³
Relative energy among the computed polymorphs = 264.5 meV per atom
E_form (uncorrected) = 1.6739 eV per atom

Geometry as CIF:
```
data_NaCr3I
_chemical_formula_sum 'Na1 Cr3 I1'
_symmetry_space_group_name_H-M 'P m -3 m'
_symmetry_Int_Tables_number 221
_symmetry_space_group_name_Hall '-P 4 2 3'
_cell_length_a 5.301
_cell_length_b 5.301
_cell_length_c 5.301
_cell_angle_alpha 90.00
_cell_angle_beta 90.00
_cell_angle_gamma 90.00
loop_
_atom_site_label
_atom_site_fract_x
_atom_site_fract_y
_atom_site_fract_z
Na1 0.000 0.000 0.000
Cr1 0.000 0.000 0.500
I1 0.500 0.500 0.500
```

[5]
Below is an optimized crystal structure of Er3MnS6, with properties calculated at the PBE level.

Results
Calculated density = 5.57 g cm⁻³
Relative energy among the computed polymorphs = 0.0 meV per atom
E_form (uncorrected) = -1.6264 eV per atom

Geometry as CIF:
```
data_Er3MnS6
_chemical_formula_sum 'Er12 Mn4 S24'
_symmetry_space_group_name_H-M 'C m c 21'
_symmetry_Int_Tables_number 36
_cell_length_a 10.525
_cell_length_b 13.099
_cell_length_c 6.477
_cell_angle_alpha 90.00
_cell_angle_beta 90.00
_cell_angle_gamma 90.00
loop_
_symmetry_equiv_pos_as_xyz
'x,y,z'
'-x,-y,z+1/2'
'-x,y,z'
'x,-y,z+1/2'
'x+1/2,y+1/2,z'
'-x+1/2,-y+1/2,z+1/2'
'-x+1/2,y+1/2,z'
'x+1/2,-y+1/2,z+1/2'
loop_
_atom_site_label
_atom_site_fract_x
_atom_site_fract_y
_atom_site_fract_z
Er1 0.000 0.099 0.000
Er2 0.183 0.401 0.086
Mn1 0.000 0.300 0.625
S1 0.000 0.280 0.271
S2 0.000 0.461 0.779
S3 0.163 0.029 0.292
S4 0.166 0.234 0.804
```

[6]
Below is an optimized crystal structure of La2HfSn4, with properties calculated at the PBE level.

Results
Calculated density = 6.57 g cm⁻³
Total energy = -5.417 eV/atom

Geometry as CIF:
```
data_La2HfSn4
_chemical_formula_sum 'La4 Hf2 Sn8'
_symmetry_space_group_name_H-M 'I 4/m m m'
_symmetry_Int_Tables_number 139
_symmetry_space_group_name_Hall '-I 4 2'
_cell_length_a 5.402
_cell_length_b 5.402
_cell_length_c 16.119
_cell_angle_alpha 90.00
_cell_angle_beta 90.00
_cell_angle_gamma 90.00
loop_
_atom_site_label
_atom_site_fract_x
_atom_site_fract_y
_atom_site_fract_z
La1 0.000 0.000 0.127
Hf1 0.000 0.000 0.500
Sn1 0.000 0.000 0.325
Sn2 0.000 0.500 0.000
```

[7]
Below is an optimized crystal structure of Pr12Tm6Pu, with properties calculated at the PBE level.

Results
Calculated density = 7.63 g cm⁻³
Total energy = -5.145 eV/atom

Geometry as CIF:
```
data_Pr12Tm6Pu
_chemical_formula_sum 'Pr36 Tm18 Pu3'
_symmetry_space_group_name_H-M 'R -3'
_symmetry_Int_Tables_number 148
_symmetry_space_group_name_Hall '-R 3'
_cell_length_a 15.8100
_cell_length_b 15.8100
_cell_length_c 8.8966
_cell_angle_alpha 90.00
_cell_angle_beta 90.00
_cell_angle_gamma 120.00
loop_
_atom_site_label
_atom_site_fract_x
_atom_site_fract_y
_atom_site_fract_z
Pr1 0.0355 0.7566 0.3381
Pr2 0.0740 0.5110 0.6664
Tm1 0.0167 0.8814 0.6666
Pu1 0.0000 0.0000 0.0000
```

[8]
Below is an optimized crystal structure of K3HoI6, with properties calculated at the PBE level.

Results
Calculated density = 3.75 g cm⁻³
E_form (uncorrected) = -1.4500 eV per atom

Geometry as CIF:
```
data_K3HoI6
_chemical_formula_sum 'K6 Ho2 I12'
_symmetry_space_group_name_H-M 'P 1 21/c 1'
_symmetry_Int_Tables_number 14
_cell_length_a 8.401
_cell_length_b 9.035
_cell_length_c 14.689
_cell_angle_alpha 90.00
_cell_angle_beta 124.02
_cell_angle_gamma 90.00
loop_
_symmetry_equiv_pos_as_xyz
'x,y,z'
'-x,-y,-z'
'-x,y+1/2,-z+1/2'
'x,-y+1/2,z+1/2'
loop_
_atom_site_label
_atom_site_fract_x
_atom_site_fract_y
_atom_site_fract_z
K1 0.000 0.000 0.000
K2 0.208 0.090 0.745
Ho1 0.500 0.000 0.500
I1 0.146 0.175 0.438
I2 0.264 0.716 0.425
I3 0.408 0.050 0.271
```

What did the sixth record say?
Below is an optimized crystal structure of La2HfSn4, with properties calculated at the PBE level.

Results
Calculated density = 6.57 g cm⁻³
Total energy = -5.417 eV/atom

Geometry as CIF:
```
data_La2HfSn4
_chemical_formula_sum 'La4 Hf2 Sn8'
_symmetry_space_group_name_H-M 'I 4/m m m'
_symmetry_Int_Tables_number 139
_symmetry_space_group_name_Hall '-I 4 2'
_cell_length_a 5.402
_cell_length_b 5.402
_cell_length_c 16.119
_cell_angle_alpha 90.00
_cell_angle_beta 90.00
_cell_angle_gamma 90.00
loop_
_atom_site_label
_atom_site_fract_x
_atom_site_fract_y
_atom_site_fract_z
La1 0.000 0.000 0.127
Hf1 0.000 0.000 0.500
Sn1 0.000 0.000 0.325
Sn2 0.000 0.500 0.000
```